A plane-wave DFT calculation with SCAN was carried out for a PBEsol-optimized structure of CdAg4Ge2S7.

Computed properties:
Electronic total energy = -19.02 eV/atom
Magnetic moment = 0.0 Bohr magnetons per cell
Volume = 305.42 Å³/f.u.

a b c (Å): 9.3541 9.3541 10.3701
angles (deg): 92.79 92.79 42.39
Closest atoms and distances in Å follow each position.
Fractional positions:
Cd 0.1728 0.8272 0.5000  4 S 2.51-2.55
Cd 0.8272 0.1728 0.0000  4 S 2.51-2.55
Ag 0.0518 0.6695 0.8118  4 S 2.44-2.54
Ag 0.3064 0.5520 0.1613  4 S 2.48-2.58
Ag 0.3214 0.9806 0.2114  4 S 2.46-2.56
Ag 0.5342 0.8882 0.5920  4 S 2.49-2.51
Ag 0.5520 0.3064 0.6613  4 S 2.48-2.58
Ag 0.6695 0.0518 0.3118  4 S 2.44-2.54
Ag 0.8882 0.5342 0.0920  4 S 2.49-2.51
Ag 0.9806 0.3214 0.7114  4 S 2.46-2.56
Ge 0.1144 0.4647 0.4541  4 S 2.19-2.36
Ge 0.4074 0.7500 0.8812  4 S 2.23-2.30
Ge 0.4647 0.1144 0.9541  4 S 2.19-2.36
Ge 0.7500 0.4074 0.3812  4 S 2.23-2.30
S 0.0144 0.3514 0.3042  2 Ge 2.30-2.36, 2 Ag 2.51-2.54
S 0.0591 0.7062 0.3485  1 Ge 2.24
S 0.1851 0.4522 0.0011  1 Ge 2.20, 1 Ag 2.44
S 0.2199 0.8552 0.0573  1 Ge 2.23, 1 Ag 2.48
S 0.2838 0.6862 0.7283  1 Ge 2.23, 2 Ag 2.48-2.49
S 0.3514 0.0144 0.8042  2 Ge 2.30-2.36, 2 Ag 2.51-2.54
S 0.4522 0.1851 0.5011  1 Ge 2.20, 1 Ag 2.44
S 0.4677 0.7556 0.4122  1 Ge 2.23, 1 Ag 2.49
S 0.6015 0.9255 0.1291  1 Ge 2.19
S 0.6862 0.2838 0.2283  1 Ge 2.23, 2 Ag 2.48-2.49
S 0.7062 0.0591 0.8485  1 Ge 2.24
S 0.7556 0.4677 0.9122  1 Ge 2.23, 1 Ag 2.49
S 0.8552 0.2199 0.5573  1 Ge 2.23, 1 Ag 2.48
S 0.9255 0.6015 0.6291  1 Ge 2.19


A plane-wave DFT calculation with SCAN was carried out for a PBEsol-optimized structure of CdAg2GeS4.

Computed properties:
Energy relative to the lowest polymorph listed for this composition = 2.7 meV/atom
Electronic total energy = -19.25 eV/atom
Magnetic moment = 0.0 Bohr magnetons per cell
Volume = 177.33 Å³/f.u.

a b c (Å): 7.7473 6.9587 6.5785
angles (deg): 90.00 90.00 90.00
Closest atoms and distances in Å follow each position.
Fractional positions:
Cd 0.0000 0.1444 0.0000  4 S 2.51-2.56
Cd 0.5000 0.8556 0.5000  4 S 2.51-2.56
Ag 0.2436 0.3244 0.5201  4 S 2.47-2.51
Ag 0.2564 0.6756 0.0201  4 S 2.47-2.51
Ag 0.7436 0.6756 0.0201  4 S 2.47-2.51
Ag 0.7564 0.3244 0.5201  4 S 2.47-2.51
Ge 0.0000 0.8264 0.5035  4 S 2.23-2.24
Ge 0.5000 0.1736 0.0035  4 S 2.23-2.24
S 0.0000 0.1263 0.3860  1 Ge 2.23
S 0.0000 0.8164 0.8427  1 Ge 2.23
S 0.2328 0.6650 0.3942  1 Ge 2.24, 2 Ag 2.47-2.51
S 0.2672 0.3350 0.8942  1 Ge 2.24, 2 Ag 2.47-2.51
S 0.5000 0.1836 0.3427  1 Ge 2.23
S 0.5000 0.8737 0.8860  1 Ge 2.23
S 0.7328 0.3350 0.8942  1 Ge 2.24, 2 Ag 2.47-2.51
S 0.7672 0.6650 0.3942  1 Ge 2.24, 2 Ag 2.47-2.51


A plane-wave DFT calculation with SCAN was carried out for a PBEsol-optimized structure of Hf2CdAgPb.

Computed properties:
Electronic total energy = -51.91 eV/atom
Magnetic moment = 0.0 Bohr magnetons per cell
Volume = 127.92 Å³/f.u.
ΔH_f (0 K) = 674.9 meV/atom

a b c (Å): 5.0774 5.0774 4.9621
angles (deg): 90.00 90.00 90.00
Closest atoms and distances in Å follow each position.
Fractional positions:
Hf 0.0000 0.5000 0.0000  2 Ag 2.54
Hf 0.5000 0.0000 0.0000  2 Ag 2.54
Cd 0.0000 0.0000 0.5000  2 Ag 2.48
Ag 0.0000 0.0000 0.0000  2 Cd 2.48, 4 Hf 2.54
Pb 0.5000 0.5000 0.5000  8 Hf 3.55, 4 Cd 3.59


A plane-wave DFT calculation with SCAN was carried out for a PBEsol-optimized structure of HfScCd2Ag.

Computed properties:
Electronic total energy = -33.22 eV/atom
Magnetic moment = 2.2 Bohr magnetons per cell
Volume = 127.01 Å³/f.u.
ΔH_f (0 K) = 596.2 meV/atom

a b c (Å): 4.9782 4.9782 5.1249
angles (deg): 90.00 90.00 90.00
Closest atoms and distances in Å follow each position.
Fractional positions:
Hf 0.0000 0.0000 0.0000  2 Ag 2.56
Sc 0.5000 0.5000 0.0000  4 Hf 3.52, 8 Cd 3.57
Cd 0.0000 0.5000 0.5000  2 Ag 2.49
Cd 0.5000 0.0000 0.5000  2 Ag 2.49
Ag 0.0000 0.0000 0.5000  4 Cd 2.49, 2 Hf 2.56


A plane-wave DFT calculation with SCAN was carried out for a PBEsol-optimized structure of CdAgHg.

Computed properties:
Energy relative to the lowest polymorph listed for this composition = 16.8 meV/atom
Electronic total energy = -43.29 eV/atom
Magnetic moment = 0.0 Bohr magnetons per cell
Volume = 57.71 Å³/f.u.
ΔH_f (0 K) = 23.9 meV/atom

a b c (Å): 6.4078 6.4078 6.4078
angles (deg): 152.04 152.04 39.95
Closest atoms and distances in Å follow each position.
Fractional positions:
Cd 0.0000 0.0000 0.0000  4 Ag 2.90, 4 Hg 3.07, 4 Cd 3.10
Ag 0.3424 0.3424 0.0000  4 Cd 2.90, 4 Hg 2.95, 4 Ag 3.10
Hg 0.6781 0.6781 0.0000  4 Ag 2.95, 4 Cd 3.07, 4 Hg 3.10


A plane-wave DFT calculation with SCAN was carried out for a PBEsol-optimized structure of CdAgHg3.

Computed properties:
Electronic total energy = -53.04 eV/atom
Magnetic moment = 0.0 Bohr magnetons per cell
Volume = 149.10 Å³/f.u.
ΔH_f (0 K) = 216.3 meV/atom

a b c (Å): 5.3027 5.3027 5.3027
angles (deg): 90.00 90.00 90.00
Closest atoms and distances in Å follow each position.
Fractional positions:
Cd 0.0000 0.0000 0.0000  12 Hg 3.75
Ag 0.5000 0.5000 0.5000  6 Hg 2.65
Hg 0.0000 0.5000 0.5000  2 Ag 2.65
Hg 0.5000 0.0000 0.5000  2 Ag 2.65
Hg 0.5000 0.5000 0.0000  2 Ag 2.65


A plane-wave DFT calculation with SCAN was carried out for a PBEsol-optimized structure of CdAgHg.

Computed properties:
Energy relative to the lowest polymorph listed for this composition = 0.0 meV/atom
Electronic total energy = -43.31 eV/atom
Magnetic moment = 0.0 Bohr magnetons per cell
Volume = 57.66 Å³/f.u.
ΔH_f (0 K) = 7.1 meV/atom

a b c (Å): 5.1521 5.1521 5.1521
angles (deg): 144.03 133.55 60.11
Closest atoms and distances in Å follow each position.
Fractional positions:
Cd 0.0000 0.0000 0.0000  5 Hg 2.92-3.00, 5 Ag 2.95-3.03, 2 Cd 3.18
Ag 0.3403 0.3403 0.0000  5 Cd 2.95-3.03, 5 Hg 2.96-2.98, 2 Ag 3.18
Hg 0.6726 0.6726 0.0000  5 Cd 2.92-3.00, 5 Ag 2.96-2.98, 2 Hg 3.18


A plane-wave DFT calculation with SCAN was carried out for a PBEsol-optimized structure of CdAgHg.

Computed properties:
Energy relative to the lowest polymorph listed for this composition = 37.4 meV/atom
Electronic total energy = -43.27 eV/atom
Magnetic moment = 0.0 Bohr magnetons per cell
Volume = 57.78 Å³/f.u.
ΔH_f (0 K) = 44.5 meV/atom

a b c (Å): 4.7740 4.7740 2.9274
angles (deg): 90.00 90.00 120.00
Closest atoms and distances in Å follow each position.
Fractional positions:
Cd 0.0000 0.0000 0.0000  2 Cd 2.93, 3 Hg 2.94, 6 Ag 2.99-3.27
Ag 0.3333 0.6667 0.3968  3 Hg 2.86, 2 Ag 2.93, 3 Cd 2.99
Hg 0.6667 0.3333 0.6515  3 Ag 2.86, 2 Hg 2.93, 3 Cd 2.94


A plane-wave DFT calculation with SCAN was carried out for a PBEsol-optimized structure of KCdAg2I.

Computed properties:
Electronic total energy = -27.28 eV/atom
Magnetic moment = 0.0 Bohr magnetons per cell
Volume = 190.63 Å³/f.u.

a b c (Å): 5.5108 5.5108 6.2771
angles (deg): 90.00 90.00 90.00
Closest atoms and distances in Å follow each position.
Fractional positions:
K 0.0000 0.0000 0.0000  2 I 3.14
Cd 0.5000 0.5000 0.0000  4 K 3.90, 8 Ag 4.18
Ag 0.0000 0.5000 0.5000  2 I 2.76
Ag 0.5000 0.0000 0.5000  2 I 2.76
I 0.0000 0.0000 0.5000  4 Ag 2.76


A plane-wave DFT calculation with SCAN was carried out for a PBEsol-optimized structure of CdAgSbI2.

Computed properties:
Electronic total energy = -34.10 eV/atom
Magnetic moment = 1.1 Bohr magnetons per cell
Volume = 166.36 Å³/f.u.

a b c (Å): 5.5386 5.5386 5.4230
angles (deg): 90.00 90.00 90.00
Closest atoms and distances in Å follow each position.
Fractional positions:
Cd 0.0000 0.0000 0.0000  8 I 3.88, 4 Sb 3.92
Ag 0.5000 0.5000 0.5000  2 Sb 2.71, 4 I 2.77
Sb 0.5000 0.5000 0.0000  2 Ag 2.71
I 0.0000 0.5000 0.5000  2 Ag 2.77
I 0.5000 0.0000 0.5000  2 Ag 2.77


A plane-wave DFT calculation with SCAN was carried out for a PBEsol-optimized structure of CdInAg.

Computed properties:
Electronic total energy = -31.70 eV/atom
Magnetic moment = 0.0 Bohr magnetons per cell
Volume = 60.59 Å³/f.u.
ΔH_f (0 K) = 20.8 meV/atom

a b c (Å): 3.7286 3.7286 5.0812
angles (deg): 111.29 111.29 90.13
Closest atoms and distances in Å follow each position.
Fractional positions:
Cd 0.0000 0.0000 0.0000  5 In 2.86-3.04, 5 Ag 2.94-3.00
In 0.3281 0.3281 0.6561  5 Cd 2.86-3.04, 5 Ag 2.92-3.01
Ag 0.6623 0.6623 0.3254  5 In 2.92-3.01, 5 Cd 2.94-3.00


A plane-wave DFT calculation with SCAN was carried out for a PBEsol-optimized structure of CdInAg.

Computed properties:
Electronic total energy = -31.70 eV/atom
Magnetic moment = 0.0 Bohr magnetons per cell
Volume = 60.33 Å³/f.u.
ΔH_f (0 K) = 22.2 meV/atom

a b c (Å): 5.0823 5.0823 5.0823
angles (deg): 140.91 132.44 63.19
Closest atoms and distances in Å follow each position.
Fractional positions:
Cd 0.0000 0.0000 0.0000  5 In 2.85-3.04, 5 Ag 2.91-3.02
In 0.3295 0.3295 0.0000  5 Cd 2.85-3.04, 5 Ag 2.90-3.02
Ag 0.6638 0.6638 0.0000  5 In 2.90-3.02, 5 Cd 2.91-3.02


A plane-wave DFT calculation with SCAN was carried out for a PBEsol-optimized structure of Cd2InAg2.

Computed properties:
Energy relative to the lowest polymorph listed for this composition = 0.0 meV/atom
Electronic total energy = -31.36 eV/atom
Magnetic moment = 0.0 Bohr magnetons per cell
Volume = 108.51 Å³/f.u.
ΔH_f (0 K) = 33.8 meV/atom

a b c (Å): 8.4169 8.4169 3.0634
angles (deg): 90.00 90.00 90.00
Closest atoms and distances in Å follow each position.
Fractional positions:
Cd 0.1263 0.3737 0.0000  6 Ag 2.85-2.96, 3 Cd 3.01-3.06
Cd 0.3737 0.8737 0.0000  6 Ag 2.85-2.96, 3 Cd 3.01-3.06
Cd 0.6263 0.1263 0.0000  6 Ag 2.85-2.96, 3 Cd 3.01-3.06
Cd 0.8737 0.6263 0.0000  6 Ag 2.85-2.96, 3 Cd 3.01-3.06
In 0.0000 0.0000 0.0000  2 In 3.06, 4 Cd 3.32
In 0.5000 0.5000 0.0000  2 In 3.06, 4 Cd 3.32
Ag 0.1715 0.6715 0.5000  6 Cd 2.85-2.96, 2 Ag 3.06
Ag 0.3285 0.1715 0.5000  6 Cd 2.85-2.96, 2 Ag 3.06
Ag 0.6715 0.8285 0.5000  6 Cd 2.85-2.96, 2 Ag 3.06
Ag 0.8285 0.3285 0.5000  6 Cd 2.85-2.96, 2 Ag 3.06


A plane-wave DFT calculation with SCAN was carried out for a PBEsol-optimized structure of CdInAg.

Computed properties:
Electronic total energy = -31.69 eV/atom
Magnetic moment = 0.0 Bohr magnetons per cell
Volume = 60.97 Å³/f.u.
ΔH_f (0 K) = 37.4 meV/atom

a b c (Å): 3.1733 3.1733 6.9918
angles (deg): 90.00 90.00 120.00
Closest atoms and distances in Å follow each position.
Fractional positions:
Cd 0.0000 0.0000 0.0000  3 Ag 2.87, 3 In 3.12, 6 Cd 3.17
In 0.3333 0.6667 0.6387  3 Ag 2.91, 3 Cd 3.12, 6 In 3.17
Ag 0.6667 0.3333 0.3153  3 Cd 2.87, 3 In 2.91, 6 Ag 3.17


A plane-wave DFT calculation with SCAN was carried out for a PBEsol-optimized structure of Cd2InAg2.

Computed properties:
Energy relative to the lowest polymorph listed for this composition = 66.6 meV/atom
Electronic total energy = -31.29 eV/atom
Magnetic moment = 0.0 Bohr magnetons per cell
Volume = 107.16 Å³/f.u.
ΔH_f (0 K) = 100.4 meV/atom

a b c (Å): 7.5983 7.5983 7.5983
angles (deg): 150.34 150.34 42.44
Closest atoms and distances in Å follow each position.
Fractional positions:
Cd 0.1028 0.1028 0.0000  4 Ag 2.85, 1 Cd 2.91, 4 In 3.11
Cd 0.8972 0.8972 0.0000  4 Ag 2.85, 1 Cd 2.91, 4 In 3.11
In 0.5000 0.5000 0.0000  8 Cd 3.11
Ag 0.2500 0.7500 0.5000  4 Ag 2.75, 4 Cd 2.85
Ag 0.7500 0.2500 0.5000  4 Ag 2.75, 4 Cd 2.85


A plane-wave DFT calculation with SCAN was carried out for a PBEsol-optimized structure of Cd2InAgS4.

Computed properties:
Electronic total energy = -21.13 eV/atom
Magnetic moment = 0.0 Bohr magnetons per cell
Volume = 193.86 Å³/f.u.

a b c (Å): 7.7748 7.7748 7.1004
angles (deg): 116.17 116.17 30.52
Closest atoms and distances in Å follow each position.
Fractional positions:
Cd 0.0000 0.0000 0.0000  4 S 2.47-2.56
Cd 0.5077 0.5077 0.5259  4 S 2.48-2.57
In 0.2504 0.2504 0.9484  4 S 2.43-2.53
Ag 0.7552 0.7552 0.4231  4 S 2.48-2.55
S 0.1873 0.1873 0.2078  1 In 2.43, 2 Ag 2.48, 1 Cd 2.51
S 0.4378 0.4378 0.1212  1 In 2.50, 3 Cd 2.56-2.57
S 0.7002 0.7002 0.7138  2 In 2.53, 1 Ag 2.55, 1 Cd 2.57
S 0.9411 0.9411 0.6129  3 Cd 2.47-2.48, 1 Ag 2.48


A plane-wave DFT calculation with SCAN was carried out for a PBEsol-optimized structure of CdInAgTe3.

Computed properties:
Electronic total energy = -34.84 eV/atom
Magnetic moment = 0.0 Bohr magnetons per cell
Volume = 199.72 Å³/f.u.

a b c (Å): 7.8681 7.8681 6.4409
angles (deg): 114.13 114.13 33.64
Closest atoms and distances in Å follow each position.
Fractional positions:
Cd 0.0000 0.0000 0.0000  4 Te 2.79-2.84
In 0.3291 0.3291 0.3419  4 Te 2.76-2.85
Ag 0.6652 0.6652 0.6557  4 Te 2.72-2.76
Te 0.1634 0.1634 0.4238  2 Ag 2.72, 1 In 2.76, 1 Cd 2.79
Te 0.5024 0.5024 0.7467  1 Ag 2.75, 1 In 2.79, 2 Cd 2.81
Te 0.8274 0.8274 0.0742  1 Ag 2.76, 1 Cd 2.84, 2 In 2.85


A plane-wave DFT calculation with SCAN was carried out for a PBEsol-optimized structure of Cd2In3Ag3Te8.

Computed properties:
Electronic total energy = -34.90 eV/atom
Magnetic moment = 0.0 Bohr magnetons per cell
Volume = 567.36 Å³/f.u.

a b c (Å): 6.6064 6.6064 12.9994
angles (deg): 90.00 90.00 90.00
Closest atoms and distances in Å follow each position.
Fractional positions:
Cd 0.0000 0.0000 0.0000  4 Te 2.87
Cd 0.5000 0.5000 0.0000  4 Te 2.85
In 0.0000 0.0000 0.5000  4 Te 2.87
In 0.0000 0.5000 0.7495  4 Te 2.85-2.86
In 0.5000 0.0000 0.2505  4 Te 2.85-2.86
Ag 0.0000 0.5000 0.2502  4 Te 2.82-2.83
Ag 0.5000 0.0000 0.7498  4 Te 2.82-2.83
Ag 0.5000 0.5000 0.5000  4 Te 2.82
Te 0.2491 0.2527 0.1271  1 Ag 2.82, 1 In 2.85, 2 Cd 2.85-2.87
Te 0.2513 0.7451 0.3753  2 Ag 2.82-2.83, 2 In 2.86-2.87
Te 0.2527 0.7509 0.8729  1 Ag 2.82, 1 In 2.85, 2 Cd 2.85-2.87
Te 0.2549 0.2513 0.6247  2 Ag 2.82-2.83, 2 In 2.86-2.87
Te 0.7451 0.7487 0.6247  2 Ag 2.82-2.83, 2 In 2.86-2.87
Te 0.7473 0.2491 0.8729  1 Ag 2.82, 1 In 2.85, 2 Cd 2.85-2.87
Te 0.7487 0.2549 0.3753  2 Ag 2.82-2.83, 2 In 2.86-2.87
Te 0.7509 0.7473 0.1271  1 Ag 2.82, 1 In 2.85, 2 Cd 2.85-2.87


A plane-wave DFT calculation with SCAN was carried out for a PBEsol-optimized structure of CdAg2Ir.

Computed properties:
Electronic total energy = -40.79 eV/atom
Magnetic moment = 0.6 Bohr magnetons per cell
Volume = 66.13 Å³/f.u.
ΔH_f (0 K) = 275.6 meV/atom

a b c (Å): 2.8041 4.7942 4.9263
angles (deg): 90.00 93.11 90.00
Closest atoms and distances in Å follow each position.
Fractional positions:
Cd 0.0000 0.0000 0.0000  4 Ir 2.77-2.90, 2 Cd 2.80, 4 Ag 2.81
Ag 0.2492 0.5000 0.7441  6 Ag 2.72-2.95, 2 Ir 2.79, 2 Cd 2.81
Ag 0.7508 0.5000 0.2559  6 Ag 2.72-2.95, 2 Ir 2.79, 2 Cd 2.81
Ir 0.5000 0.0000 0.5000  4 Cd 2.77-2.90, 4 Ag 2.79, 2 Ir 2.80


A plane-wave DFT calculation with SCAN was carried out for a PBEsol-optimized structure of CdAg2Ir.

Computed properties:
Electronic total energy = -40.76 eV/atom
Magnetic moment = 0.0 Bohr magnetons per cell
Volume = 65.50 Å³/f.u.
ΔH_f (0 K) = 300.9 meV/atom

a b c (Å): 4.9266 4.9266 4.9266
angles (deg): 131.60 131.60 70.87
Closest atoms and distances in Å follow each position.
Fractional positions:
Cd 0.0000 0.0000 0.0000  8 Ag 2.85, 4 Ir 2.86
Ag 0.2500 0.7500 0.5000  4 Cd 2.85, 4 Ir 2.85, 4 Ag 2.86
Ag 0.7500 0.2500 0.5000  4 Cd 2.85, 4 Ir 2.85, 4 Ag 2.86
Ir 0.5000 0.5000 0.0000  8 Ag 2.85, 4 Cd 2.86